[1]
Here is a relaxed KBa2Ca crystal from the Alexandria database. Energies are from PBE-GGA.

Cell and atoms, written as POSCAR:
```
KBa2Ca
1.0
-5.349 5.349 4.105
5.349 -5.349 4.105
5.349 5.349 -4.105
K Ba Ca
2 4 2
direct
0.000 0.000 0.000 K
0.750 0.250 0.500 K
0.122 0.625 0.997 Ba
0.375 0.372 0.497 Ba
0.628 0.125 0.003 Ba
0.875 0.878 0.503 Ba
0.250 0.750 0.500 Ca
0.500 0.500 0.000 Ca
```

Output
Total magnetization (μB/atom): 0.000
V (A^3/atom): 58.73
Final energy (eV per atom): -1.4467
Space-group type: I-42d



[2]
Here is a relaxed K2BaCa2 crystal from the Alexandria database. Energies are from PBE-GGA.

Cell and atoms, written as POSCAR:
```
K2BaCa2
1.0
11.507 0.000 0.000
0.000 11.507 0.000
0.000 0.000 4.351
K Ba Ca
4 2 4
direct
0.174 0.326 0.000 K
0.326 0.826 0.000 K
0.674 0.174 0.000 K
0.826 0.674 0.000 K
0.000 0.000 0.500 Ba
0.500 0.500 0.500 Ba
0.121 0.621 0.500 Ca
0.379 0.121 0.500 Ca
0.621 0.879 0.500 Ca
0.879 0.379 0.500 Ca
```

Output
Total magnetization (μB/atom): 0.000
V (A^3/atom): 57.61
Final energy (eV per atom): -1.3914
Space-group type: P4/mbm



[3]
Here is a relaxed KBa2Ca crystal from the Alexandria database. Energies are from PBE-GGA.

Cell and atoms, written as POSCAR:
```
KBa2Ca
1.0
-2.433 3.506 6.880
2.433 -3.506 6.880
2.433 3.506 -6.880
K Ba Ca
1 2 1
direct
0.000 0.000 0.000 K
0.251 0.751 0.500 Ba
0.749 0.249 0.500 Ba
0.500 0.500 0.000 Ca
```

Output
Total magnetization (μB/atom): 0.000
V (A^3/atom): 58.70
Final energy (eV per atom): -1.6183
Space-group type: Immm



no.,Fermi-level density of states (states/eV/f.u.),formation energy (eV/f.u.)
1,9.2,1.16
2,4.8,1.16
3,5.3,0.47